The following is a PBE calculation of an optimized crystal structure of CsSrCo2I8, from Alexandria.

Uncorrected formation energy in eV/f.u.: -8.195

Unit cell a=11.772 b=11.772 c=11.772 alpha=37.45 beta=37.45 gamma=37.45
Fractional positions:
Cs1 0.000 0.000 0.000
Sr1 0.500 0.500 0.500
Co1 0.252 0.252 0.252
Co2 0.748 0.748 0.748
I1 0.084 0.442 0.795
I2 0.205 0.916 0.558
I3 0.328 0.328 0.328
I4 0.442 0.795 0.084
I5 0.558 0.205 0.916
I6 0.672 0.672 0.672
I7 0.795 0.084 0.442
I8 0.916 0.558 0.205


The following is a PBE calculation of an optimized crystal structure of CsTaCo2I, from Alexandria.

Uncorrected formation energy in eV/f.u.: 13.712

Unit cell a=4.631 b=4.631 c=6.248 alpha=90.00 beta=90.00 gamma=90.00
Fractional positions:
Cs1 0.000 0.000 0.000
Ta1 0.500 0.500 0.500
Co1 0.000 0.500 0.000
Co2 0.500 0.000 0.000
I1 0.000 0.000 0.500


The following is a PBE calculation of an optimized crystal structure of CsCoTeI2, from Alexandria.

Uncorrected formation energy in eV/f.u.: -1.764

Unit cell a=5.957 b=5.957 c=5.019 alpha=90.00 beta=90.00 gamma=90.00
Fractional positions:
Cs1 0.000 0.000 0.000
Co1 0.500 0.500 0.500
Te1 0.500 0.500 0.000
I1 0.000 0.500 0.500
I2 0.500 0.000 0.500


The following is a PBE calculation of an optimized crystal structure of Cs2TiCoI, from Alexandria.

Uncorrected formation energy in eV/f.u.: 1.308

Unit cell a=7.045 b=7.045 c=4.396 alpha=90.00 beta=90.00 gamma=90.00
Fractional positions:
Cs1 0.000 0.500 0.000
Cs2 0.500 0.000 0.000
Ti1 0.000 0.000 0.500
Co1 0.000 0.000 0.000
I1 0.500 0.500 0.500


The following is a PBE calculation of an optimized crystal structure of Cs2TlCoI6, from Alexandria.

Uncorrected formation energy in eV/f.u.: -7.432

Unit cell a=8.434 b=8.434 c=8.434 alpha=60.00 beta=60.00 gamma=60.00
Fractional positions:
Cs1 0.250 0.250 0.250
Cs2 0.750 0.750 0.750
Tl1 0.000 0.000 0.000
Co1 0.500 0.500 0.500
I1 0.278 0.278 0.722
I2 0.278 0.722 0.278
I3 0.278 0.722 0.722
I4 0.722 0.278 0.278
I5 0.722 0.278 0.722
I6 0.722 0.722 0.278


The following is a PBE calculation of an optimized crystal structure of Cs2TlCoI6, from Alexandria.

Uncorrected formation energy in eV/f.u.: -7.437

Unit cell a=8.210 b=8.210 c=8.491 alpha=90.00 beta=90.00 gamma=120.00
Fractional positions:
Cs1 0.333 0.667 0.170
Cs2 0.667 0.333 0.830
Tl1 0.000 0.000 0.500
Co1 0.000 0.000 0.000
I1 0.153 0.306 0.820
I2 0.153 0.847 0.820
I3 0.306 0.153 0.180
I4 0.694 0.847 0.820
I5 0.847 0.153 0.180
I6 0.847 0.694 0.180


The following is a PBE calculation of an optimized crystal structure of Cs2ZnCoI6, from Alexandria.

Uncorrected formation energy in eV/f.u.: -6.953

Unit cell a=8.457 b=8.457 c=8.457 alpha=120.40 beta=120.40 gamma=89.31
Fractional positions:
Cs1 0.250 0.750 0.500
Cs2 0.750 0.250 0.500
Zn1 0.000 0.000 0.000
Co1 0.500 0.500 0.000
I1 0.211 0.211 0.000
I2 0.276 0.276 0.552
I3 0.276 0.724 0.000
I4 0.724 0.276 0.000
I5 0.724 0.724 0.448
I6 0.789 0.789 0.000


The following is a PBE calculation of an optimized crystal structure of Cs2ZrCoI6, from Alexandria.

Uncorrected formation energy in eV/f.u.: -7.936

Unit cell a=8.211 b=8.211 c=8.211 alpha=119.91 beta=119.91 gamma=90.16
Fractional positions:
Cs1 0.250 0.750 0.500
Cs2 0.750 0.250 0.500
Zr1 0.000 0.000 0.000
Co1 0.500 0.500 0.000
I1 0.254 0.254 0.000
I2 0.254 0.254 0.508
I3 0.254 0.746 0.000
I4 0.746 0.254 0.000
I5 0.746 0.746 0.000
I6 0.746 0.746 0.492


The following is a PBE calculation of an optimized crystal structure of CsInCo3, from Alexandria.

Energy relative to the lowest polymorph listed for this composition in eV per formula unit: 0.00
Energy of formation in eV/atom: 1.41

Unit cell a=4.915 b=4.915 c=4.915 alpha=90.00 beta=90.00 gamma=90.00
Fractional positions:
Cs1 0.000 0.000 0.000
In1 0.500 0.500 0.500
Co1 0.000 0.500 0.500
Co2 0.500 0.000 0.500
Co3 0.500 0.500 0.000


The following is a PBE calculation of an optimized crystal structure of CsIn3Co, from Alexandria.

Energy relative to the lowest polymorph listed for this composition in eV per formula unit: 0.00
Energy of formation in eV/atom: 0.02

Unit cell a=5.170 b=5.170 c=5.170 alpha=90.00 beta=90.00 gamma=90.00
Fractional positions:
Cs1 0.000 0.000 0.000
In1 0.000 0.500 0.500
In2 0.500 0.000 0.500
In3 0.500 0.500 0.000
Co1 0.500 0.500 0.500


The following is a PBE calculation of an optimized crystal structure of CsInCo3, from Alexandria.

Energy relative to the lowest polymorph listed for this composition in eV per formula unit: 4.02
Energy of formation in eV/atom: 2.22

Unit cell a=4.804 b=4.804 c=4.804 alpha=90.00 beta=90.00 gamma=90.00
Fractional positions:
Cs1 0.000 0.000 0.000
In1 0.500 0.500 0.500
Co1 0.000 0.000 0.500
Co2 0.000 0.500 0.000
Co3 0.500 0.000 0.000


The following is a PBE calculation of an optimized crystal structure of CsIn3Co, from Alexandria.

Energy relative to the lowest polymorph listed for this composition in eV per formula unit: 8.52
Energy of formation in eV/atom: 1.72

Unit cell a=6.477 b=6.477 c=6.477 alpha=90.00 beta=90.00 gamma=90.00
Fractional positions:
Cs1 0.000 0.000 0.000
In1 0.000 0.000 0.500
In2 0.000 0.500 0.000
In3 0.500 0.000 0.000
Co1 0.500 0.500 0.500


Values for final energy, eV/atom, ordered as above
-3.11 -2.95 -3.19 -3.39 -2.79 -2.79 -2.63 -3.46 -3.57 -3.22 -2.76 -1.51
Values for total magnetization, μB per cell, ordered as above
7.031 0.001 2.639 1.751 0.000 0.158 2.644 1.909 5.259 0.000 3.189 1.969